CrRe3Pb: relaxed, PBE.

As for the crystal system: cubic. The density of states at the Fermi level is 4.50 states/eV/cell. The value obtained for the formation energy from the elements is 8.06 eV/f.u. The value obtained for the energy is -8.524 eV/atom. Its spin magnetization is 2.12 μB/f.u. The energy above the most stable polymorph in this dataset is 0 meV per atom. The value obtained for the theoretical density is 14.33 g/cm³.

Structure (CIF):
```
data_CrRe3Pb
_cell_length_a 4.559
_cell_length_b 4.559
_cell_length_c 4.559
_cell_angle_alpha 90.00
_cell_angle_beta 90.00
_cell_angle_gamma 90.00
_symmetry_space_group_name_H-M 'P m -3 m'
_symmetry_Int_Tables_number 221
_symmetry_space_group_name_Hall '-P 4 2 3'
loop_
_atom_site_label
_atom_site_fract_x
_atom_site_fract_y
_atom_site_fract_z
_atom_site_occupancy
Cr1 0.000 0.000 0.000 1
Re1 0.000 0.000 0.500 1
Pb1 0.500 0.500 0.500 1
```


BaNaMg2Tl2: relaxed, PBE.

As for the crystal system: trigonal. The density of states at the Fermi level is 4.31 states/eV/cell. The value obtained for the formation energy from the elements is -1.09 eV/f.u. The value obtained for the energy is -2.042 eV/atom. Its spin magnetization is 0.00 μB/f.u. The value obtained for the theoretical density is 5.49 g/cm³.

Structure (CIF):
```
data_BaNaMg2Tl2
_cell_length_a 5.1305
_cell_length_b 5.1305
_cell_length_c 8.1945
_cell_angle_alpha 90.00
_cell_angle_beta 90.00
_cell_angle_gamma 120.00
_symmetry_space_group_name_H-M 'P -3 m 1'
_symmetry_Int_Tables_number 164
_symmetry_space_group_name_Hall '-P 3 2"'
loop_
_atom_site_label
_atom_site_fract_x
_atom_site_fract_y
_atom_site_fract_z
_atom_site_occupancy
Ba1 0.0000 0.0000 0.0000 1
Na1 0.0000 0.0000 0.5000 1
Mg1 0.3333 0.6667 0.6719 1
Tl1 0.3333 0.6667 0.2787 1
```


KZr6CCl15: relaxed, PBE.

As for the crystal system: orthorhombic. The value obtained for the energy is -5.684 eV/atom. For the uncorrected formation energy, the calculation gives -1801 meV per atom. Its spin magnetization is 0.00 μB/f.u. The value obtained for the theoretical density is 2.82 g/cm³.

Structure (CIF):
```
data_KZr6CCl15
_cell_length_a 18.915
_cell_length_b 14.137
_cell_length_c 9.954
_cell_angle_alpha 90.00
_cell_angle_beta 90.00
_cell_angle_gamma 90.00
_symmetry_space_group_name_H-M 'P m m a'
_symmetry_Int_Tables_number 51
loop_
_symmetry_equiv_pos_as_xyz
'x,y,z'
'-x,-y,-z'
'-x+1/2,-y,z'
'x+1/2,y,-z'
'x+1/2,-y,-z'
'-x+1/2,y,z'
'-x,y,-z'
'x,-y,z'
loop_
_atom_site_label
_atom_site_fract_x
_atom_site_fract_y
_atom_site_fract_z
_atom_site_occupancy
K1 0.250 0.248 0.175 1
Zr1 0.030 0.115 0.846 1
Zr2 0.112 0.000 0.082 1
Zr3 0.164 0.385 0.668 1
Zr4 0.250 0.500 0.439 1
Zr5 0.250 0.500 0.894 1
C1 0.000 0.000 0.000 1
C2 0.250 0.500 0.666 1
Cl1 0.000 0.253 0.000 1
Cl2 0.060 0.500 0.667 1
Cl3 0.065 0.250 0.669 1
Cl4 0.067 0.000 0.663 1
Cl5 0.094 0.128 0.260 1
Cl6 0.155 0.373 0.411 1
Cl7 0.156 0.374 0.924 1
Cl8 0.159 0.125 0.922 1
Cl9 0.250 0.000 0.180 1
Cl10 0.250 0.247 0.661 1
Cl11 0.250 0.500 0.167 1
```


K3ScH: relaxed, PBE.

As for the crystal system: cubic. The density of states at the Fermi level is 10.54 states/eV/cell. The value obtained for the energy is -2.124 eV/atom. Its spin magnetization is 2.97 μB/f.u. The value obtained for the theoretical density is 1.40 g/cm³.

Structure (CIF):
```
data_K3ScH
_cell_length_a 5.792
_cell_length_b 5.792
_cell_length_c 5.792
_cell_angle_alpha 90.00
_cell_angle_beta 90.00
_cell_angle_gamma 90.00
_symmetry_space_group_name_H-M 'P m -3 m'
_symmetry_Int_Tables_number 221
_symmetry_space_group_name_Hall '-P 4 2 3'
loop_
_atom_site_label
_atom_site_fract_x
_atom_site_fract_y
_atom_site_fract_z
_atom_site_occupancy
K1 0.000 0.000 0.500 1
Sc1 0.500 0.500 0.500 1
H1 0.000 0.000 0.000 1
```


Zn2CuSi: relaxed, PBE.

As for the crystal system: orthorhombic. The density of states at the Fermi level is 1.22 states/eV/cell. The value obtained for the energy is -2.917 eV/atom. For the uncorrected formation energy, the calculation gives 100 meV per atom. Its spin magnetization is 0.00 μB/f.u. The value obtained for the theoretical density is 6.48 g/cm³.

Structure (CIF):
```
data_Zn2CuSi
_cell_length_a 3.121
_cell_length_b 3.662
_cell_length_c 4.986
_cell_angle_alpha 90.00
_cell_angle_beta 90.00
_cell_angle_gamma 90.00
_symmetry_space_group_name_H-M 'P m m m'
_symmetry_Int_Tables_number 47
loop_
_symmetry_equiv_pos_as_xyz
'x,y,z'
'-x,-y,-z'
'-x,-y,z'
'x,y,-z'
'x,-y,-z'
'-x,y,z'
'-x,y,-z'
'x,-y,z'
loop_
_atom_site_label
_atom_site_fract_x
_atom_site_fract_y
_atom_site_fract_z
_atom_site_occupancy
Zn1 0.000 0.000 0.248 1
Cu1 0.500 0.500 0.000 1
Si1 0.500 0.500 0.500 1
```


TiV2Cu: relaxed, PBE.

As for the crystal system: cubic. The density of states at the Fermi level is 20.80 states/eV/cell. The value obtained for the formation energy from the elements is 0.95 eV/f.u. The value obtained for the energy is -7.320 eV/atom. Its spin magnetization is 0.00 μB/f.u. The energy above the most stable polymorph in this dataset is 216 meV per atom. The value obtained for the theoretical density is 6.39 g/cm³.

Structure (CIF):
```
data_TiV2Cu
_cell_length_a 6.051
_cell_length_b 6.051
_cell_length_c 6.051
_cell_angle_alpha 90.00
_cell_angle_beta 90.00
_cell_angle_gamma 90.00
_symmetry_space_group_name_H-M 'F m -3 m'
_symmetry_Int_Tables_number 225
_symmetry_space_group_name_Hall '-F 4 2 3'
loop_
_atom_site_label
_atom_site_fract_x
_atom_site_fract_y
_atom_site_fract_z
_atom_site_occupancy
Ti1 0.000 0.000 0.000 1
V1 0.250 0.250 0.250 1
Cu1 0.000 0.000 0.500 1
```


Ti2NbTc: relaxed, PBE.

As for the crystal system: cubic. The density of states at the Fermi level is 33.33 states/eV/cell. The value obtained for the formation energy from the elements is -0.63 eV/f.u. The value obtained for the energy is -9.213 eV/atom. Its spin magnetization is 0.00 μB/f.u. The energy above the most stable polymorph in this dataset is 108 meV per atom. The value obtained for the theoretical density is 7.40 g/cm³.

Structure (CIF):
```
data_Ti2NbTc
_cell_length_a 6.362
_cell_length_b 6.362
_cell_length_c 6.362
_cell_angle_alpha 90.00
_cell_angle_beta 90.00
_cell_angle_gamma 90.00
_symmetry_space_group_name_H-M 'F m -3 m'
_symmetry_Int_Tables_number 225
_symmetry_space_group_name_Hall '-F 4 2 3'
loop_
_atom_site_label
_atom_site_fract_x
_atom_site_fract_y
_atom_site_fract_z
_atom_site_occupancy
Ti1 0.250 0.250 0.250 1
Nb1 0.000 0.000 0.000 1
Tc1 0.000 0.000 0.500 1
```


LiEr3Ga12: relaxed, PBE.

As for the crystal system: tetragonal. The density of states at the Fermi level is 4.27 states/eV/cell. The value obtained for the formation energy from the elements is -6.90 eV/f.u. The value obtained for the energy is -3.677 eV/atom. Its spin magnetization is 0.00 μB/f.u. The value obtained for the theoretical density is 7.50 g/cm³.

Structure (CIF):
```
data_LiEr3Ga12
_cell_length_a 4.239
_cell_length_b 4.239
_cell_length_c 16.584
_cell_angle_alpha 90.00
_cell_angle_beta 90.00
_cell_angle_gamma 90.00
_symmetry_space_group_name_H-M 'P 4/m m m'
_symmetry_Int_Tables_number 123
_symmetry_space_group_name_Hall '-P 4 2'
loop_
_atom_site_label
_atom_site_fract_x
_atom_site_fract_y
_atom_site_fract_z
_atom_site_occupancy
Li1 0.000 0.000 0.000 1
Er1 0.000 0.000 0.241 1
Er2 0.000 0.000 0.500 1
Ga1 0.000 0.500 0.111 1
Ga2 0.000 0.500 0.371 1
Ga3 0.500 0.500 0.000 1
Ga4 0.500 0.500 0.249 1
Ga5 0.500 0.500 0.500 1
```


AcLa2Zn6: relaxed, PBE.

As for the crystal system: hexagonal. The density of states at the Fermi level is 8.90 states/eV/cell. The value obtained for the formation energy from the elements is -2.95 eV/f.u. The value obtained for the energy is -2.729 eV/atom. Its spin magnetization is 0.00 μB/f.u. The value obtained for the theoretical density is 6.98 g/cm³.

Structure (CIF):
```
data_AcLa2Zn6
_cell_length_a 8.1035
_cell_length_b 8.1035
_cell_length_c 3.7562
_cell_angle_alpha 90.00
_cell_angle_beta 90.00
_cell_angle_gamma 120.00
_symmetry_space_group_name_H-M 'P 6/m m m'
_symmetry_Int_Tables_number 191
_symmetry_space_group_name_Hall '-P 6 2'
loop_
_atom_site_label
_atom_site_fract_x
_atom_site_fract_y
_atom_site_fract_z
_atom_site_occupancy
Ac1 0.0000 0.0000 0.0000 1
La1 0.3333 0.6667 0.0000 1
Zn1 0.0000 0.3376 0.5000 1
```


BaCuSi2: relaxed, PBE.

As for the crystal system: monoclinic. The density of states at the Fermi level is 1.49 states/eV/cell. The value obtained for the energy is -4.432 eV/atom. For the uncorrected formation energy, the calculation gives -215 meV per atom. Its spin magnetization is 0.00 μB/f.u. The value obtained for the theoretical density is 4.54 g/cm³.

Structure (CIF):
```
data_BaCuSi2
_cell_length_a 4.123
_cell_length_b 4.073
_cell_length_c 5.774
_cell_angle_alpha 90.00
_cell_angle_beta 103.94
_cell_angle_gamma 90.00
_symmetry_space_group_name_H-M 'P 1 2/m 1'
_symmetry_Int_Tables_number 10
loop_
_symmetry_equiv_pos_as_xyz
'x,y,z'
'-x,-y,-z'
'-x,y,-z'
'x,-y,z'
loop_
_atom_site_label
_atom_site_fract_x
_atom_site_fract_y
_atom_site_fract_z
_atom_site_occupancy
Ba1 0.000 0.000 0.000 1
Cu1 0.500 0.000 0.500 1
Si1 0.292 0.500 0.623 1
```